## MnAlFeMo (GGA-PBE)

Data for an optimized crystal structure of MnAlFeMo.

## Properties
ΔH_f (0 K) (kJ per mole of atoms): -4.1
Spin magnetization (μB per cell): 0.29
Offset from the most stable computed form (kJ/mol of atoms): 16.0

Cell lengths 2.660, 2.660, 7.372 Å; angles 90.00, 90.00, 90.00 degrees
Sites, in units of the cell vectors:
Mn (0.000, 0.000, 0.000)
Al (0.500, 0.500, 0.761)
Fe (0.500, 0.500, 0.205)
Mo (0.000, 0.000, 0.477)

=====

## MnAlFeMo (GGA-PBE)

Data for an optimized crystal structure of MnAlFeMo.

## Properties
ΔH_f (0 K) (kJ per mole of atoms): 8.3
Spin magnetization (μB per cell): 5.68
Offset from the most stable computed form (kJ/mol of atoms): 28.4

Cell lengths 4.148, 4.148, 11.175 Å; angles 90.00, 90.00, 120.00 degrees
Sites, in units of the cell vectors:
Mn (0.000, 0.000, 0.000)
Mn (0.333, 0.667, 0.667)
Mn (0.667, 0.333, 0.333)
Al (0.000, 0.000, 0.778)
Al (0.333, 0.667, 0.444)
Al (0.667, 0.333, 0.111)
Fe (0.000, 0.000, 0.341)
Fe (0.333, 0.667, 0.008)
Fe (0.667, 0.333, 0.674)
Mo (0.000, 0.000, 0.548)
Mo (0.333, 0.667, 0.215)
Mo (0.667, 0.333, 0.881)

=====

## MnAlFeMo (GGA-PBE)

Data for an optimized crystal structure of MnAlFeMo.

## Properties
ΔH_f (0 K) (kJ per mole of atoms): 3.1
Spin magnetization (μB per cell): 0.00
Offset from the most stable computed form (kJ/mol of atoms): 23.2

Cell lengths 2.900, 4.345, 4.097 Å; angles 90.00, 90.00, 90.00 degrees
Sites, in units of the cell vectors:
Mn (0.000, 0.000, 0.000)
Al (0.000, 0.500, 0.342)
Fe (0.500, 0.500, 0.843)
Mo (0.500, 0.000, 0.498)

=====

## MnAlFeMo (GGA-PBE)

Data for an optimized crystal structure of MnAlFeMo.

## Properties
ΔH_f (0 K) (kJ per mole of atoms): -14.8
Spin magnetization (μB per cell): 0.00
Offset from the most stable computed form (kJ/mol of atoms): 5.2

Cell lengths 2.984, 4.051, 4.164 Å; angles 90.00, 90.00, 90.00 degrees
Sites, in units of the cell vectors:
Mn (0.000, 0.000, 0.000)
Al (0.500, 0.000, 0.500)
Fe (0.000, 0.500, 0.500)
Mo (0.500, 0.500, 0.000)

=====

## MnAlFeMo (GGA-PBE)

Data for an optimized crystal structure of MnAlFeMo.

## Properties
ΔH_f (0 K) (kJ per mole of atoms): -8.0
Spin magnetization (μB per cell): 2.19
Offset from the most stable computed form (kJ/mol of atoms): 12.1

Cell lengths 3.013, 4.179, 8.260 Å; angles 90.00, 90.00, 90.00 degrees
Sites, in units of the cell vectors:
Mn (0.000, 0.000, 0.000)
Mn (0.500, 0.500, 0.500)
Al (0.000, 0.000, 0.507)
Al (0.500, 0.500, 0.007)
Fe (0.000, 0.500, 0.257)
Fe (0.500, 0.000, 0.757)
Mo (0.000, 0.500, 0.737)
Mo (0.500, 0.000, 0.237)

=====

## MnAlFeMo (GGA-PBE)

Data for an optimized crystal structure of MnAlFeMo.

## Properties
ΔH_f (0 K) (kJ per mole of atoms): -10.8
Spin magnetization (μB per cell): 2.06
Offset from the most stable computed form (kJ/mol of atoms): 9.3

Cell lengths 3.028, 3.997, 8.401 Å; angles 90.00, 90.00, 90.00 degrees
Sites, in units of the cell vectors:
Mn (0.000, 0.000, 0.000)
Mn (0.500, 0.500, 0.500)
Al (0.000, 0.500, 0.748)
Al (0.500, 0.000, 0.248)
Fe (0.000, 0.500, 0.254)
Fe (0.500, 0.000, 0.754)
Mo (0.000, 0.000, 0.511)
Mo (0.500, 0.500, 0.011)

=====

## MnAlFeMo (GGA-PBE)

Data for an optimized crystal structure of MnAlFeMo.

## Properties
ΔH_f (0 K) (kJ per mole of atoms): -20.1
Spin magnetization (μB per cell): 0.00
Offset from the most stable computed form (kJ/mol of atoms): 0.0

Cell lengths 5.857, 5.857, 5.857 Å; angles 90.00, 90.00, 90.00 degrees
Sites, in units of the cell vectors:
Mn (0.000, 0.000, 0.000)
Mn (0.000, 0.500, 0.500)
Mn (0.500, 0.000, 0.500)
Mn (0.500, 0.500, 0.000)
Al (0.250, 0.250, 0.250)
Al (0.250, 0.750, 0.750)
Al (0.750, 0.250, 0.750)
Al (0.750, 0.750, 0.250)
Fe (0.000, 0.000, 0.500)
Fe (0.000, 0.500, 0.000)
Fe (0.500, 0.000, 0.000)
Fe (0.500, 0.500, 0.500)
Mo (0.250, 0.250, 0.750)
Mo (0.250, 0.750, 0.250)
Mo (0.750, 0.250, 0.250)
Mo (0.750, 0.750, 0.750)

=====

## MnAlFeMo (GGA-PBE)

Data for an optimized crystal structure of MnAlFeMo.

## Properties
ΔH_f (0 K) (kJ per mole of atoms): -5.5
Spin magnetization (μB per cell): 0.07
Offset from the most stable computed form (kJ/mol of atoms): 14.5

Cell lengths 2.644, 2.644, 7.325 Å; angles 90.00, 90.00, 90.00 degrees
Sites, in units of the cell vectors:
Mn (0.000, 0.000, 0.000)
Al (0.000, 0.000, 0.430)
Fe (0.500, 0.500, 0.197)
Mo (0.500, 0.500, 0.720)

=====

offset from the most stable computed form of number 8 (MnAlFeMo)? 14.5 kJ/mol of atoms

=====

The highest offset from the most stable computed form belongs to which entry? number 2

=====

The highest spin magnetization belongs to which entry? number 2